Crystalline Y5Tm4In4 at its relaxed geometry, computed with GGA-PBE.

It has space group I4/m (No. 87), with a = 12.1930 Å, b = 12.1930 Å, c = 5.0242 Å, α = 90.00°, β = 90.00° and γ = 90.00°. The inequivalent atoms are Y at (0.0000, 0.0000, 0.0000), Y at (0.0988, 0.8114, 0.5000), Tm at (0.0968, 0.6033, 0.0000) and In at (0.1032, 0.2361, 0.0000).

As for the formation energy: -0.34 eV/atom. The density is 7.02 Mg/m³.